The following is a PBE-GGA calculation of crystalline KZrTe2 at its relaxed geometry, from Alexandria via LeMat-Bulk.

Summary:
Formation energy from raw total energies (eV/atom): 0.181
Crystal system: cubic
E (eV per atom): -3.801
DOS(E_F) (states/eV/cell): 13.18

Cell lengths 7.665, 7.665, 7.665 Å; angles 90.00, 90.00, 90.00 degrees
Space group F-43m (No. 216)
Asymmetric unit:
K 0.000 0.000 0.000 [4 per cell]
Zr 0.250 0.250 0.750 [4 per cell]
Te 0.000 0.000 0.500 [4 per cell]
Te 0.250 0.250 0.250 [4 per cell]